Compound: ZnGe3N
Source: the Alexandria database
Functional: PBE
Structure: relaxed

Cell lengths 4.714, 4.714, 4.714 Å; angles 90.00, 90.00, 90.00 degrees
Sites, in units of the cell vectors:
Ge1 0.000 0.500 0.000
Ge2 0.000 0.000 0.500
Ge3 0.500 0.000 0.000
Zn1 0.000 0.000 0.000
N1 0.500 0.500 0.500

---

Compound: Zn5Ge2N6
Source: the Alexandria database
Functional: PBE
Structure: relaxed

Cell lengths 5.325, 5.325, 14.003 Å; angles 88.55, 88.55, 64.66 degrees
Sites, in units of the cell vectors:
Zn1 0.149 0.617 0.041
Zn2 0.383 0.851 0.459
Zn3 0.851 0.383 0.959
Zn4 0.617 0.149 0.541
Zn5 0.780 0.937 0.725
Zn6 0.063 0.220 0.775
Zn7 0.220 0.063 0.275
Zn8 0.937 0.780 0.225
Zn9 0.451 0.549 0.750
Zn10 0.549 0.451 0.250
Ge1 0.966 0.456 0.596
Ge2 0.544 0.034 0.904
Ge3 0.034 0.544 0.404
Ge4 0.456 0.966 0.096
N1 0.747 0.287 0.645
N2 0.713 0.253 0.855
N3 0.253 0.713 0.355
N4 0.287 0.747 0.145
N5 0.083 0.559 0.707
N6 0.441 0.917 0.793
N7 0.917 0.441 0.293
N8 0.559 0.083 0.207
N9 0.771 0.743 0.503
N10 0.257 0.229 0.997
N11 0.229 0.257 0.497
N12 0.743 0.771 0.003

---

These records have ΔE_f (raw) values of 151.7 8.9 kJ per mole of atoms, in the order they appear.